A plane-wave DFT calculation with GGA+U was carried out for a relaxed NiTe2PbO8 crystal.

Geometry as POSCAR:
```
NiTe2PbO8
1.0
5.4879 0.0000 0.0000
-2.7439 4.7527 0.0000
0.0000 0.0000 7.2684
Ni Te Pb O
1 2 1 8
direct
0.0000 0.0000 0.0000
0.3333 0.6667 0.2459
0.6667 0.3333 0.7541
0.0000 0.0000 0.5000
0.0502 0.3092 0.1804
0.2591 0.9498 0.1804
0.3092 0.2591 0.8196
0.3333 0.6667 0.4984
0.6667 0.3333 0.5016
0.6908 0.7409 0.1804
0.7409 0.0502 0.8196
0.9498 0.6908 0.8196
```

Output
raw total energy: -5.222 eV/atom
Fermi-level density of states: 0.00 states/eV/cell